No. 1
Sc2GaHg | PBE-GGA | optimized geometry

CIF file:
```
data_Sc2GaHg
_space_group_name_H-M_alt 'I m m m'
_space_group_IT_number 71
_space_group_name_Hall '-I 2 2'
_cell_length_a 3.1595
_cell_length_b 5.4064
_cell_length_c 11.6439
_cell_angle_alpha 90.00
_cell_angle_beta 90.00
_cell_angle_gamma 90.00
loop_
_atom_site_label
_atom_site_type_symbol
_atom_site_fract_x
_atom_site_fract_y
_atom_site_fract_z
Sc1 Sc 0.0000 0.0000 0.2451
Ga1 Ga 0.0000 0.0000 0.0000
Hg1 Hg 0.0000 0.0000 0.5000
```

calculated total energy	-29.87	eV per cell
total moment	0.0	μB/cell
calculated density	6.01	Mg/m³


No. 2
BaMgCoCl6 | PBE-GGA | optimized geometry

CIF file:
```
data_BaMgCoCl6
_space_group_name_H-M_alt 'C 1 2 1'
_space_group_IT_number 5
_cell_length_a 6.4989
_cell_length_b 11.3041
_cell_length_c 6.6952
_cell_angle_alpha 90.00
_cell_angle_beta 90.28
_cell_angle_gamma 90.00
loop_
_space_group_symop_operation_xyz
'x,y,z'
'-x,y,-z'
'x+1/2,y+1/2,z'
'-x+1/2,y+1/2,-z'
loop_
_atom_site_label
_atom_site_type_symbol
_atom_site_fract_x
_atom_site_fract_y
_atom_site_fract_z
Ba1 Ba 0.0000 0.0000 0.0000
Mg1 Mg 0.0000 0.6659 0.5000
Co1 Co 0.0000 0.3327 0.5000
Cl1 Cl 0.1208 0.4962 0.7138
Cl2 Cl 0.1817 0.1889 0.7106
Cl3 Cl 0.1924 0.8148 0.7112
```

calculated total energy	-72.39	eV per cell
E_form (uncorrected)	-1610	meV per atom
total moment	6.0	μB/cell
calculated density	2.93	Mg/m³


No. 3
ZnRe2Hg | PBE-GGA | optimized geometry

CIF file:
```
data_ZnRe2Hg
_space_group_name_H-M_alt 'P 4/m m m'
_space_group_IT_number 123
_space_group_name_Hall '-P 4 2'
_cell_length_a 2.7023
_cell_length_b 2.7023
_cell_length_c 8.9307
_cell_angle_alpha 90.00
_cell_angle_beta 90.00
_cell_angle_gamma 90.00
loop_
_atom_site_label
_atom_site_type_symbol
_atom_site_fract_x
_atom_site_fract_y
_atom_site_fract_z
Zn1 Zn 0.0000 0.0000 0.0000
Re1 Re 0.5000 0.5000 0.2310
Hg1 Hg 0.0000 0.0000 0.5000
```

calculated total energy	-23.25	eV per cell
total moment	0.0	μB/cell
calculated density	16.26	Mg/m³
distance to the lowest polymorph of the same formula	0.549	eV/atom


No. 4
Nd2CuP4Pt3 | PBE-GGA | optimized geometry

CIF file:
```
data_Nd2CuP4Pt3
_space_group_name_H-M_alt 'P -4 m 2'
_space_group_IT_number 115
_cell_length_a 4.3082
_cell_length_b 4.3082
_cell_length_c 9.4870
_cell_angle_alpha 90.00
_cell_angle_beta 90.00
_cell_angle_gamma 90.00
loop_
_space_group_symop_operation_xyz
'x,y,z'
'y,-x,-z'
'-x,-y,z'
'-y,x,-z'
'-x,y,z'
'-y,-x,-z'
'x,-y,z'
'y,x,-z'
loop_
_atom_site_label
_atom_site_type_symbol
_atom_site_fract_x
_atom_site_fract_y
_atom_site_fract_z
Nd1 Nd 0.0000 0.5000 0.2478
Cu1 Cu 0.0000 0.0000 0.5000
P1 P 0.0000 0.0000 0.0000
P2 P 0.0000 0.5000 0.6287
P3 P 0.5000 0.5000 0.0000
Pt1 Pt 0.0000 0.5000 0.8844
Pt2 Pt 0.5000 0.5000 0.5000
```

calculated total energy	-62.70	eV per cell
total moment	0.0	μB/cell
calculated density	10.01	Mg/m³


No. 5
ZnCdBr2 | PBE-GGA | optimized geometry

CIF file:
```
data_ZnCdBr2
_space_group_name_H-M_alt 'R -3 m'
_space_group_IT_number 166
_space_group_name_Hall '-R 3 2"'
_cell_length_a 4.0158
_cell_length_b 4.0158
_cell_length_c 33.5975
_cell_angle_alpha 90.00
_cell_angle_beta 90.00
_cell_angle_gamma 120.00
loop_
_atom_site_label
_atom_site_type_symbol
_atom_site_fract_x
_atom_site_fract_y
_atom_site_fract_z
Zn1 Zn 0.0000 0.0000 0.0000
Cd1 Cd 0.0000 0.0000 0.5000
Br1 Br 0.0000 0.0000 0.1192
```

calculated total energy	-21.33	eV per cell
E_form (uncorrected)	-393	meV per atom
total moment	0.0	μB/cell
calculated density	3.58	Mg/m³
distance to the lowest polymorph of the same formula	0.097	eV/atom


No. 6
MgW5 | PBE-GGA | optimized geometry

CIF file:
```
data_MgW5
_space_group_name_H-M_alt 'F -4 3 m'
_space_group_IT_number 216
_space_group_name_Hall 'F -4 2 3'
_cell_length_a 7.4600
_cell_length_b 7.4600
_cell_length_c 7.4600
_cell_angle_alpha 90.00
_cell_angle_beta 90.00
_cell_angle_gamma 90.00
loop_
_atom_site_label
_atom_site_type_symbol
_atom_site_fract_x
_atom_site_fract_y
_atom_site_fract_z
Mg1 Mg 0.0000 0.0000 0.0000
W1 W 0.1255 0.1255 0.6255
W2 W 0.2500 0.2500 0.2500
```

calculated total energy	-256.84	eV per cell
total moment	0.0	μB/cell
calculated density	15.09	Mg/m³
distance to the lowest polymorph of the same formula	0.000	eV/atom


No. 7
BaNaSr2 | PBE-GGA | optimized geometry

CIF file:
```
data_BaNaSr2
_space_group_name_H-M_alt 'R 3 m'
_space_group_IT_number 160
_space_group_name_Hall 'R 3 -2"'
_cell_length_a 4.2835
_cell_length_b 4.2835
_cell_length_c 40.6693
_cell_angle_alpha 90.00
_cell_angle_beta 90.00
_cell_angle_gamma 120.00
loop_
_atom_site_label
_atom_site_type_symbol
_atom_site_fract_x
_atom_site_fract_y
_atom_site_fract_z
Ba1 Ba 0.0000 0.0000 0.0000
Na1 Na 0.0000 0.0000 0.1665
Sr1 Sr 0.0000 0.0000 0.5783
Sr2 Sr 0.0000 0.0000 0.7548
```

calculated total energy	-19.33	eV per cell
total moment	0.0	μB/cell
calculated density	2.59	Mg/m³
distance to the lowest polymorph of the same formula	0.031	eV/atom


No. 8
TaPSe2 | PBE-GGA | optimized geometry

CIF file:
```
data_TaPSe2
_space_group_name_H-M_alt 'C m m 2'
_space_group_IT_number 35
_cell_length_a 3.5664
_cell_length_b 4.6205
_cell_length_c 10.4136
_cell_angle_alpha 90.00
_cell_angle_beta 90.00
_cell_angle_gamma 90.00
loop_
_space_group_symop_operation_xyz
'x,y,z'
'-x,-y,z'
'-x,y,z'
'x,-y,z'
'x+1/2,y+1/2,z'
'-x+1/2,-y+1/2,z'
'-x+1/2,y+1/2,z'
'x+1/2,-y+1/2,z'
loop_
_atom_site_label
_atom_site_type_symbol
_atom_site_fract_x
_atom_site_fract_y
_atom_site_fract_z
Ta1 Ta 0.0000 0.0000 0.0000
P1 P 0.0000 0.5000 0.1741
Se1 Se 0.0000 0.0000 0.4996
Se2 Se 0.0000 0.5000 0.8133
```

calculated total energy	-48.02	eV per cell
E_form (uncorrected)	56	meV per atom
total moment	0.0	μB/cell
calculated density	7.16	Mg/m³


No. 9
Cd8SnPt6 | PBE-GGA | optimized geometry

CIF file:
```
data_Cd8SnPt6
_space_group_name_H-M_alt 'R -3'
_space_group_IT_number 148
_space_group_name_Hall '-R 3'
_cell_length_a 7.9560
_cell_length_b 7.9560
_cell_length_c 16.8326
_cell_angle_alpha 90.00
_cell_angle_beta 90.00
_cell_angle_gamma 120.00
loop_
_atom_site_label
_atom_site_type_symbol
_atom_site_fract_x
_atom_site_fract_y
_atom_site_fract_z
Cd1 Cd 0.0000 0.0000 0.1669
Cd2 Cd 0.0038 0.6555 0.3794
Sn1 Sn 0.0000 0.0000 0.5000
Pt1 Pt 0.0008 0.6761 0.5484
```

calculated total energy	-156.29	eV per cell
total moment	0.0	μB/cell
calculated density	11.82	Mg/m³


No. 10
TiSb3P | PBE-GGA | optimized geometry

CIF file:
```
data_TiSb3P
_space_group_name_H-M_alt 'P m -3 m'
_space_group_IT_number 221
_space_group_name_Hall '-P 4 2 3'
_cell_length_a 5.2084
_cell_length_b 5.2084
_cell_length_c 5.2084
_cell_angle_alpha 90.00
_cell_angle_beta 90.00
_cell_angle_gamma 90.00
loop_
_atom_site_label
_atom_site_type_symbol
_atom_site_fract_x
_atom_site_fract_y
_atom_site_fract_z
Ti1 Ti 0.0000 0.0000 0.0000
Sb1 Sb 0.0000 0.0000 0.5000
P1 P 0.5000 0.5000 0.5000
```

calculated total energy	-22.72	eV per cell
E_form (uncorrected)	591	meV per atom
total moment	1.5	μB/cell
calculated density	5.22	Mg/m³
distance to the lowest polymorph of the same formula	0.000	eV/atom


No. 11
K2Ga3SnAu4 | PBE-GGA | optimized geometry

CIF file:
```
data_K2Ga3SnAu4
_space_group_name_H-M_alt 'P -4 m 2'
_space_group_IT_number 115
_cell_length_a 4.7313
_cell_length_b 4.7313
_cell_length_c 10.7010
_cell_angle_alpha 90.00
_cell_angle_beta 90.00
_cell_angle_gamma 90.00
loop_
_space_group_symop_operation_xyz
'x,y,z'
'y,-x,-z'
'-x,-y,z'
'-y,x,-z'
'-x,y,z'
'-y,-x,-z'
'x,-y,z'
'y,x,-z'
loop_
_atom_site_label
_atom_site_type_symbol
_atom_site_fract_x
_atom_site_fract_y
_atom_site_fract_z
K1 K 0.0000 0.5000 0.2416
Ga1 Ga 0.0000 0.5000 0.8842
Ga2 Ga 0.5000 0.5000 0.5000
Sn1 Sn 0.0000 0.0000 0.5000
Au1 Au 0.0000 0.0000 0.0000
Au2 Au 0.0000 0.5000 0.6395
Au3 Au 0.5000 0.5000 0.0000
```

calculated total energy	-31.51	eV per cell
total moment	0.0	μB/cell
calculated density	8.28	Mg/m³


No. 12
Mg2InW | PBE-GGA | optimized geometry

CIF file:
```
data_Mg2InW
_space_group_name_H-M_alt 'I -4 2 d'
_space_group_IT_number 122
_space_group_name_Hall 'I -4 2bw'
_cell_length_a 7.6769
_cell_length_b 7.6769
_cell_length_c 5.6538
_cell_angle_alpha 90.00
_cell_angle_beta 90.00
_cell_angle_gamma 90.00
loop_
_atom_site_label
_atom_site_type_symbol
_atom_site_fract_x
_atom_site_fract_y
_atom_site_fract_z
Mg1 Mg 0.2483 0.2500 0.1250
In1 In 0.0000 0.0000 0.5000
W1 W 0.0000 0.0000 0.0000
```

calculated total energy	-61.68	eV per cell
total moment	4.0	μB/cell
calculated density	6.92	Mg/m³


No. 13
Ce5Bi2Os | PBE-GGA | optimized geometry

CIF file:
```
data_Ce5Bi2Os
_space_group_name_H-M_alt 'P b a m'
_space_group_IT_number 55
_cell_length_a 8.0124
_cell_length_b 12.6023
_cell_length_c 4.6364
_cell_angle_alpha 90.00
_cell_angle_beta 90.00
_cell_angle_gamma 90.00
loop_
_space_group_symop_operation_xyz
'x,y,z'
'-x,-y,-z'
'-x,-y,z'
'x,y,-z'
'x+1/2,-y+1/2,-z'
'-x+1/2,y+1/2,z'
'-x+1/2,y+1/2,-z'
'x+1/2,-y+1/2,z'
loop_
_atom_site_label
_atom_site_type_symbol
_atom_site_fract_x
_atom_site_fract_y
_atom_site_fract_z
Ce1 Ce 0.0000 0.0000 0.0000
Ce2 Ce 0.1229 0.3057 0.0000
Ce3 Ce 0.2065 0.5554 0.5000
Bi1 Bi 0.0883 0.8204 0.5000
Os1 Os 0.0000 0.5000 0.0000
```

calculated total energy	-105.26	eV per cell
total moment	9.1	μB/cell
calculated density	9.28	Mg/m³
distance to the lowest polymorph of the same formula	0.000	eV/atom


| no. | D(E_F) (states/eV per cell) |
| --- | --- |
| 1 | 10.624 |
| 2 | 1.348 |
| 3 | 3.810 |
| 4 | 1.037 |
| 5 | 0.000 |
| 6 | 9.101 |
| 7 | 11.395 |
| 8 | 4.200 |
| 9 | 22.488 |
| 10 | 4.607 |
| 11 | 6.206 |
| 12 | 5.358 |
| 13 | 53.543 |